Record 1
Density functional theory data (PBE) for a relaxed Pm2H6Rh crystal.

Space group: Fm-3m
DFT total energy (Ry/atom): -0.3389
DOS(E_F) (states/eV/cell): 4.02
Energy relative to the lowest polymorph listed for this composition (meV per atom): 0
Total magnetic moment (μB per atom): 0.000

abc: 5.160 5.160 5.160
angles: 60.00 60.00 60.00
Element x y z (fractional)
1 H 0.760 0.760 0.240
2 H 0.240 0.760 0.760
3 H 0.240 0.240 0.760
4 H 0.760 0.240 0.760
5 H 0.240 0.760 0.240
6 H 0.760 0.240 0.240
7 Rh 0.000 0.000 0.000
8 Pm 0.250 0.250 0.250
9 Pm 0.750 0.750 0.750



Record 2
Density functional theory data (PBE) for a relaxed CeMgSe3 crystal.

Space group: C2/m
DFT total energy (Ry/atom): -0.3536
Formation energy (no corrections) (eV/atom): -1.214
DOS(E_F) (states/eV/cell): 4.14
Energy relative to the lowest polymorph listed for this composition (meV per atom): 222
Total magnetic moment (μB per atom): 0.022

abc: 6.988 6.988 7.227
angles: 72.34 72.34 108.54
Element x y z (fractional)
1 Se 0.238 0.936 0.184
2 Se 0.577 0.577 0.702
3 Se 0.936 0.238 0.184
4 Se 0.064 0.762 0.816
5 Se 0.762 0.064 0.816
6 Se 0.423 0.423 0.298
7 Mg 0.674 0.326 0.000
8 Mg 0.326 0.674 0.000
9 Ce 0.205 0.205 0.761
10 Ce 0.795 0.795 0.239



- Look up the DOS(E_F) of the second one.
  4.14 states/eV/cell